[1]
# Sr2YF, optimized geometry, DFT PBE-GGA
data_Sr2YF
_cell_length_a 7.725
_cell_length_b 7.725
_cell_length_c 9.855
_cell_angle_alpha 90.00
_cell_angle_beta 90.00
_cell_angle_gamma 90.00
_space_group_name_H-M_alt 'I -4 2 d'
_space_group_IT_number 122
_space_group_name_Hall 'I -4 2bw'
loop_
_atom_site_label
_atom_site_fract_x
_atom_site_fract_y
_atom_site_fract_z
_atom_site_occupancy
Sr1 0.099 0.250 0.125 1
Y1 0.000 0.000 0.500 1
F1 0.000 0.000 0.000 1
# - E above lowest polymorph (kcal/mol of atoms) = 0.000

[2]
Crystalline Sr2YF6 at its relaxed geometry. Source: Alexandria via LeMat-Bulk, functional PBE-GGA.

Structure (CIF):
```
data_Sr2YF6
_cell_length_a 5.401
_cell_length_b 5.401
_cell_length_c 11.809
_cell_angle_alpha 90.00
_cell_angle_beta 90.00
_cell_angle_gamma 90.00
_space_group_name_H-M_alt 'P 42/m n m'
_space_group_IT_number 136
_space_group_name_Hall '-P 4n 2n'
loop_
_atom_site_label
_atom_site_fract_x
_atom_site_fract_y
_atom_site_fract_z
_atom_site_occupancy
Sr1 0.000 0.000 0.163 1
Y1 0.000 0.000 0.500 1
F1 0.176 0.176 0.339 1
F2 0.209 0.209 0.000 1
```

[3]
Crystalline Sr2YF8 at its relaxed geometry. Source: Alexandria via LeMat-Bulk, functional PBE-GGA.

Structure (CIF):
```
data_Sr2YF8
_cell_length_a 14.369
_cell_length_b 4.060
_cell_length_c 5.767
_cell_angle_alpha 90.00
_cell_angle_beta 111.62
_cell_angle_gamma 90.00
_space_group_name_H-M_alt 'C 1 2/m 1'
_space_group_IT_number 12
_space_group_name_Hall '-C 2y'
loop_
_atom_site_label
_atom_site_fract_x
_atom_site_fract_y
_atom_site_fract_z
_atom_site_occupancy
Sr1 0.170 0.000 0.184 1
Y1 0.000 0.500 0.500 1
F1 0.018 0.000 0.304 1
F2 0.096 0.500 0.913 1
F3 0.153 0.500 0.463 1
F4 0.223 0.000 0.815 1
```

[4]
# SrYF2, optimized geometry, DFT PBE-GGA
data_SrYF2
_cell_length_a 6.890
_cell_length_b 6.890
_cell_length_c 6.890
_cell_angle_alpha 90.00
_cell_angle_beta 90.00
_cell_angle_gamma 90.00
_space_group_name_H-M_alt 'F m -3 m'
_space_group_IT_number 225
_space_group_name_Hall '-F 4 2 3'
loop_
_atom_site_label
_atom_site_fract_x
_atom_site_fract_y
_atom_site_fract_z
_atom_site_occupancy
Sr1 0.000 0.000 0.000 1
Y1 0.000 0.000 0.500 1
F1 0.250 0.250 0.250 1
# - E above lowest polymorph (kcal/mol of atoms) = 25.281

[5]
# SrYF2, optimized geometry, DFT PBE-GGA
data_SrYF2
_cell_length_a 5.766
_cell_length_b 5.766
_cell_length_c 11.319
_cell_angle_alpha 90.00
_cell_angle_beta 90.00
_cell_angle_gamma 90.00
_space_group_name_H-M_alt 'I -4 2 d'
_space_group_IT_number 122
_space_group_name_Hall 'I -4 2bw'
loop_
_atom_site_label
_atom_site_fract_x
_atom_site_fract_y
_atom_site_fract_z
_atom_site_occupancy
Sr1 0.000 0.000 0.000 1
Y1 0.000 0.000 0.500 1
F1 0.226 0.250 0.625 1
# - E above lowest polymorph (kcal/mol of atoms) = 7.111

[6]
Crystalline SrYF5 at its relaxed geometry. Source: Alexandria via LeMat-Bulk, functional PBE-GGA.

Structure (CIF):
```
data_SrYF5
_cell_length_a 4.325
_cell_length_b 15.887
_cell_length_c 5.782
_cell_angle_alpha 90.00
_cell_angle_beta 93.35
_cell_angle_gamma 90.00
_space_group_name_H-M_alt 'C 1 2/c 1'
_space_group_IT_number 15
_space_group_name_Hall '-C 2yc'
loop_
_atom_site_label
_atom_site_fract_x
_atom_site_fract_y
_atom_site_fract_z
_atom_site_occupancy
Sr1 0.000 0.177 0.250 1
Y1 0.000 0.424 0.250 1
F1 0.000 0.123 0.750 1
F2 0.008 0.311 0.002 1
F3 0.233 0.461 0.603 1
```

[7]
# Sr3YF, optimized geometry, DFT PBE-GGA
data_Sr3YF
_cell_length_a 6.651
_cell_length_b 6.651
_cell_length_c 6.651
_cell_angle_alpha 90.00
_cell_angle_beta 90.00
_cell_angle_gamma 90.00
_space_group_name_H-M_alt 'P m -3 m'
_space_group_IT_number 221
_space_group_name_Hall '-P 4 2 3'
loop_
_atom_site_label
_atom_site_fract_x
_atom_site_fract_y
_atom_site_fract_z
_atom_site_occupancy
Sr1 0.000 0.000 0.500 1
Y1 0.000 0.000 0.000 1
F1 0.500 0.500 0.500 1
# - E above lowest polymorph (kcal/mol of atoms) = 27.999

[8]
# Sr3YF, optimized geometry, DFT PBE-GGA
data_Sr3YF
_cell_length_a 5.601
_cell_length_b 5.601
_cell_length_c 5.601
_cell_angle_alpha 90.00
_cell_angle_beta 90.00
_cell_angle_gamma 90.00
_space_group_name_H-M_alt 'P m -3 m'
_space_group_IT_number 221
_space_group_name_Hall '-P 4 2 3'
loop_
_atom_site_label
_atom_site_fract_x
_atom_site_fract_y
_atom_site_fract_z
_atom_site_occupancy
Sr1 0.000 0.000 0.500 1
Y1 0.500 0.500 0.500 1
F1 0.000 0.000 0.000 1
# - E above lowest polymorph (kcal/mol of atoms) = 0.000

[9]
# Sr2YF, optimized geometry, DFT PBE-GGA
data_Sr2YF
_cell_length_a 8.578
_cell_length_b 8.578
_cell_length_c 8.578
_cell_angle_alpha 90.00
_cell_angle_beta 90.00
_cell_angle_gamma 90.00
_space_group_name_H-M_alt 'F m -3 m'
_space_group_IT_number 225
_space_group_name_Hall '-F 4 2 3'
loop_
_atom_site_label
_atom_site_fract_x
_atom_site_fract_y
_atom_site_fract_z
_atom_site_occupancy
Sr1 0.250 0.250 0.250 1
Y1 0.000 0.000 0.000 1
F1 0.000 0.000 0.500 1
# - E above lowest polymorph (kcal/mol of atoms) = 21.921

[10]
# SrY2F, optimized geometry, DFT PBE-GGA
data_SrY2F
_cell_length_a 8.002
_cell_length_b 8.002
_cell_length_c 8.002
_cell_angle_alpha 90.00
_cell_angle_beta 90.00
_cell_angle_gamma 90.00
_space_group_name_H-M_alt 'F m -3 m'
_space_group_IT_number 225
_space_group_name_Hall '-F 4 2 3'
loop_
_atom_site_label
_atom_site_fract_x
_atom_site_fract_y
_atom_site_fract_z
_atom_site_occupancy
Sr1 0.000 0.000 0.000 1
Y1 0.250 0.250 0.250 1
F1 0.000 0.000 0.500 1
# - E above lowest polymorph (kcal/mol of atoms) = 25.346

[11]
# SrY2F, optimized geometry, DFT PBE-GGA
data_SrY2F
_cell_length_a 7.434
_cell_length_b 7.434
_cell_length_c 9.526
_cell_angle_alpha 90.00
_cell_angle_beta 90.00
_cell_angle_gamma 90.00
_space_group_name_H-M_alt 'I -4 2 d'
_space_group_IT_number 122
_space_group_name_Hall 'I -4 2bw'
loop_
_atom_site_label
_atom_site_fract_x
_atom_site_fract_y
_atom_site_fract_z
_atom_site_occupancy
Sr1 0.000 0.000 0.000 1
Y1 0.079 0.750 0.625 1
F1 0.000 0.000 0.500 1
# - E above lowest polymorph (kcal/mol of atoms) = 0.000

[12]
# Sr2YF, optimized geometry, DFT PBE-GGA
data_Sr2YF
_cell_length_a 3.7788
_cell_length_b 3.7788
_cell_length_c 31.3683
_cell_angle_alpha 90.00
_cell_angle_beta 90.00
_cell_angle_gamma 120.00
_space_group_name_H-M_alt 'R -3 m'
_space_group_IT_number 166
_space_group_name_Hall '-R 3 2"'
loop_
_atom_site_label
_atom_site_fract_x
_atom_site_fract_y
_atom_site_fract_z
_atom_site_occupancy
Sr1 0.0000 0.0000 0.1128 1
Y1 0.0000 0.0000 0.0000 1
F1 0.0000 0.0000 0.5000 1
# - E above lowest polymorph (kcal/mol of atoms) = 4.053

For reference, density of states at the Fermi level by record: 3.09 1.90 6.72 3.16 2.48 0.00 5.40 6.76 7.09 5.33 5.52 3.70 states/eV/f.u..
For reference, E_form (uncorrected) by record: -1128 -3680 -3593 -1630 -2417 -4048 325 -889 -178 49 -1050 -953 meV/atom.